# HfTlS2Cl

A geometry-optimized HfTlS2Cl structure (GGA-PBE, the Alexandria database).

Properties
ΔE to the lowest computed polymorph = 0 meV per atom
DFT total energy = -29.14 eV/f.u.
N(E_F) = 0.00 states/eV/atom
space group = P2_1/m, No. 11

Structure (POSCAR):
```
HfTlS2Cl
1.0
8.526 0.000 0.000
0.000 3.714 0.000
-2.221 0.000 8.618
Hf Tl S Cl
2 2 4 2
direct
0.169 0.250 0.146 Hf
0.831 0.750 0.854 Hf
0.321 0.750 0.750 Tl
0.679 0.250 0.250 Tl
0.044 0.250 0.850 S
0.358 0.750 0.118 S
0.642 0.250 0.882 S
0.956 0.750 0.150 S
0.245 0.250 0.429 Cl
0.755 0.750 0.571 Cl
```

---

# CaTb4Dy4

A geometry-optimized CaTb4Dy4 structure (GGA-PBE, the Alexandria database).

Properties
DFT total energy = -38.29 eV/f.u.
N(E_F) = 1.64 states/eV/atom
DFT formation energy = 71 meV/atom
space group = P-1, No. 2

Structure (POSCAR):
```
CaTb4Dy4
1.0
6.626 0.000 0.000
-0.988 8.974 0.000
-1.911 -3.135 9.863
Ca Tb Dy
2 8 8
direct
0.002 0.257 0.260 Ca
0.998 0.743 0.740 Ca
0.128 0.358 0.612 Tb
0.220 0.959 0.399 Tb
0.333 0.075 0.744 Tb
0.403 0.649 0.948 Tb
0.597 0.351 0.052 Tb
0.667 0.925 0.256 Tb
0.780 0.041 0.601 Tb
0.872 0.642 0.388 Tb
0.061 0.312 0.932 Dy
0.278 0.026 0.065 Dy
0.336 0.581 0.250 Dy
0.444 0.693 0.590 Dy
0.556 0.307 0.410 Dy
0.664 0.419 0.750 Dy
0.722 0.974 0.935 Dy
0.939 0.688 0.068 Dy
```

---

# TePbBr3

A geometry-optimized TePbBr3 structure (GGA-PBE, the Alexandria database).

Properties
ΔE to the lowest computed polymorph = 0 meV per atom
DFT total energy = -12.57 eV/f.u.
N(E_F) = 1.03 states/eV/atom
space group = Pm-3m, No. 221

Structure (POSCAR):
```
TePbBr3
1.0
5.897 0.000 0.000
0.000 5.897 0.000
0.000 0.000 5.897
Te Pb Br
1 1 3
direct
0.000 0.000 0.000 Te
0.500 0.500 0.500 Pb
0.000 0.500 0.500 Br
0.500 0.000 0.500 Br
0.500 0.500 0.000 Br
```

---

What did the first record say?
# HfTlS2Cl

A geometry-optimized HfTlS2Cl structure (GGA-PBE, the Alexandria database).

Properties
ΔE to the lowest computed polymorph = 0 meV per atom
DFT total energy = -29.14 eV/f.u.
N(E_F) = 0.00 states/eV/atom
space group = P2_1/m, No. 11

Structure (POSCAR):
```
HfTlS2Cl
1.0
8.526 0.000 0.000
0.000 3.714 0.000
-2.221 0.000 8.618
Hf Tl S Cl
2 2 4 2
direct
0.169 0.250 0.146 Hf
0.831 0.750 0.854 Hf
0.321 0.750 0.750 Tl
0.679 0.250 0.250 Tl
0.044 0.250 0.850 S
0.358 0.750 0.118 S
0.642 0.250 0.882 S
0.956 0.750 0.150 S
0.245 0.250 0.429 Cl
0.755 0.750 0.571 Cl
```